Rh2WF | PBE+U | relaxed

Summary:
The final energy comes out at -5.797 eV/atom.

```
data_Rh2WF
_cell_length_a 6.119
_cell_length_b 6.119
_cell_length_c 6.119
_cell_angle_alpha 90.00
_cell_angle_beta 90.00
_cell_angle_gamma 90.00
_space_group_name_H-M_alt 'F m -3 m'
_space_group_IT_number 225
_space_group_name_Hall '-F 4 2 3'
loop_
_atom_site_label
_atom_site_type_symbol
_atom_site_fract_x
_atom_site_fract_y
_atom_site_fract_z
Rh1 Rh 0.250 0.250 0.250
W1 W 0.000 0.000 0.000
F1 F 0.000 0.000 0.500
```